BaNa3Bi: relaxed, PBE.

Values from the calculation:
Fermi-level density of states: 1.89 states/eV per cell
Uncorrected energy: -2.048 eV per atom
Formation energy: -0.10 eV per atom
SG: Pm-3m, No. 221
Offset from the most stable computed form: 0.000 eV per atom

Cell lengths 6.0930, 6.0930, 6.0930 Å; angles 90.00, 90.00, 90.00 degrees
Closest atoms and distances in Å follow each position.
Element x y z (fractional)
Ba 0.0000 0.0000 0.0000  12 Na 4.31
Na 0.0000 0.5000 0.5000  2 Bi 3.05
Na 0.5000 0.0000 0.5000  2 Bi 3.05
Na 0.5000 0.5000 0.0000  2 Bi 3.05
Bi 0.5000 0.5000 0.5000  6 Na 3.05

---

AlRh: relaxed, PBE.

Values from the calculation:
Fermi-level density of states: 3.92 states/eV per cell
Uncorrected energy: -6.292 eV per atom
Formation energy: -0.75 eV per atom
SG: I4_1/amd, No. 141

Cell lengths 5.0230, 5.0230, 5.0230 Å; angles 137.91, 137.91, 61.04 degrees
Closest atoms and distances in Å follow each position.
Element x y z (fractional)
Al 0.3750 0.6250 0.7500  8 Rh 2.55-2.82, 4 Al 2.82
Al 0.6250 0.3750 0.2500  8 Rh 2.55-2.82, 4 Al 2.82
Rh 0.1250 0.8750 0.2500  8 Al 2.55-2.82, 4 Rh 2.82
Rh 0.8750 0.1250 0.7500  8 Al 2.55-2.82, 4 Rh 2.82

---

CdPb2O: relaxed, PBE.

Values from the calculation:
Fermi-level density of states: 4.12 states/eV per cell
Formation energy from raw total energies: -0.21 eV per atom
Uncorrected energy: -3.532 eV per atom
SG: I-42d, No. 122
Offset from the most stable computed form: 0.000 eV per atom

Cell lengths 7.5122, 7.5122, 7.5122 Å; angles 131.03, 131.03, 71.77 degrees
Closest atoms and distances in Å follow each position.
Element x y z (fractional)
Cd 0.0000 0.0000 0.0000  4 Pb 3.03
Cd 0.7500 0.2500 0.5000  4 Pb 3.03
Pb 0.2139 0.6250 0.0889  2 O 2.40
Pb 0.3750 0.4639 0.5889  2 O 2.40
Pb 0.5361 0.1250 0.9111  2 O 2.40
Pb 0.8750 0.7861 0.4111  2 O 2.40
O 0.2500 0.7500 0.5000  4 Pb 2.40
O 0.5000 0.5000 0.0000  4 Pb 2.40